Compound: Tl2CdInH
Source: Alexandria via LeMat-Bulk
Functional: PBE
Structure: relaxed

Cell lengths 5.424, 5.424, 4.076 Å; angles 90.00, 90.00, 90.00 degrees
Space group P4/mmm (No. 123)
Unique sites:
Tl (0.000, 0.500, 0.000)
Cd (0.000, 0.000, 0.500)
In (0.500, 0.500, 0.500)
H (0.000, 0.000, 0.000)

Computed properties:
- DFT total energy: -2.151 eV/atom
- M_tot: 0.0 μB/f.u.